! K2Cd2Sb PBE relaxed; values from VASP
! Excess energy over the best structure of this formula in the dataset: 374.4 meV per atom
! Symmetry: I4/mmm (139)
&SYSTEM
  ibrav = 0, nat = 10, ntyp = 3
/
ATOMIC_SPECIES
K 39.10 K.upf
Cd 112.41 Cd.upf
Sb 121.76 Sb.upf
CELL_PARAMETERS angstrom
5.053 0.000 0.000
0.000 5.053 0.000
0.000 0.000 14.260
ATOMIC_POSITIONS crystal
K 0.000 0.500 0.250
K 0.000 0.500 0.750
K 0.500 0.000 0.250
K 0.500 0.000 0.750
Cd 0.000 0.000 0.095
Cd 0.000 0.000 0.905
Cd 0.500 0.500 0.405
Cd 0.500 0.500 0.595
Sb 0.000 0.000 0.500
Sb 0.500 0.500 0.000

***

! KCdSb2 PBE relaxed; values from VASP
! Symmetry: I-4m2 (119)
&SYSTEM
  ibrav = 0, nat = 8, ntyp = 3
/
ATOMIC_SPECIES
K 39.10 K.upf
Cd 112.41 Cd.upf
Sb 121.76 Sb.upf
CELL_PARAMETERS angstrom
4.866 0.000 0.000
0.000 4.866 0.000
0.000 0.000 9.852
ATOMIC_POSITIONS crystal
K 0.000 0.000 0.000
K 0.500 0.500 0.500
Cd 0.000 0.500 0.250
Cd 0.500 0.000 0.750
Sb 0.000 0.000 0.500
Sb 0.000 0.500 0.750
Sb 0.500 0.000 0.250
Sb 0.500 0.500 0.000

***

! KCdSb2 PBE relaxed; values from VASP
! Symmetry: I-42d (122)
&SYSTEM
  ibrav = 0, nat = 16, ntyp = 3
/
ATOMIC_SPECIES
K 39.10 K.upf
Cd 112.41 Cd.upf
Sb 121.76 Sb.upf
CELL_PARAMETERS angstrom
5.631 0.000 0.000
0.000 5.631 0.000
0.000 0.000 19.440
ATOMIC_POSITIONS crystal
K 0.000 0.000 0.000
K 0.000 0.500 0.250
K 0.500 0.000 0.750
K 0.500 0.500 0.500
Cd 0.000 0.000 0.500
Cd 0.000 0.500 0.750
Cd 0.500 0.000 0.250
Cd 0.500 0.500 0.000
Sb 0.123 0.250 0.625
Sb 0.250 0.623 0.875
Sb 0.250 0.877 0.375
Sb 0.377 0.250 0.125
Sb 0.623 0.750 0.125
Sb 0.750 0.123 0.375
Sb 0.750 0.377 0.875
Sb 0.877 0.750 0.625

***

! KCdSb2 PBE relaxed; values from VASP
! Symmetry: C2/m (12)
&SYSTEM
  ibrav = 0, nat = 8, ntyp = 3
/
ATOMIC_SPECIES
K 39.10 K.upf
Cd 112.41 Cd.upf
Sb 121.76 Sb.upf
CELL_PARAMETERS angstrom
10.395 0.000 0.000
0.000 4.087 0.000
-1.814 0.000 6.347
ATOMIC_POSITIONS crystal
K 0.000 0.000 0.000
K 0.500 0.500 0.000
Cd 0.000 0.500 0.500
Cd 0.500 0.000 0.500
Sb 0.230 0.000 0.655
Sb 0.270 0.500 0.345
Sb 0.730 0.500 0.655
Sb 0.770 0.000 0.345

***

Which E_tot belongs to each record? In order, -1.4362 -2.5560 -2.6682 -2.7054 eV per atom.
Which formation energy without anion corrections belongs to each record? In order, 0.97 0.03 -0.42 -0.56 eV per formula unit.
Which total magnetic moment belongs to each record? In order, 0.00 0.00 0.00 0.00 Bohr magnetons per cell.